Cu8PdPt2 after structural relaxation. Source: Alexandria via LeMat-Bulk, functional GGA-PBE.

```
data_Cu8PdPt2
_cell_length_a 4.475
_cell_length_b 6.816
_cell_length_c 7.295
_cell_angle_alpha 62.15
_cell_angle_beta 72.18
_cell_angle_gamma 49.09
_symmetry_space_group_name_H-M 'P 1'
_symmetry_Int_Tables_number 1
_symmetry_space_group_name_Hall 'P 1'
loop_
_atom_site_label
_atom_site_type_symbol
_atom_site_fract_x
_atom_site_fract_y
_atom_site_fract_z
Cu1 Cu 0.764 0.102 0.266
Cu2 Cu 0.764 0.368 0.734
Cu3 Cu 0.243 0.504 0.000
Cu4 Cu 0.500 0.800 0.399
Cu5 Cu 0.500 0.200 0.601
Cu6 Cu 0.757 0.496 0.000
Cu7 Cu 0.236 0.632 0.266
Cu8 Cu 0.236 0.898 0.734
Pd1 Pd 0.500 0.000 0.000
Pt1 Pt 0.000 0.317 0.366
Pt2 Pt 0.000 0.683 0.634
```

***

Cu6PdPt3 after structural relaxation. Source: Alexandria via LeMat-Bulk, functional GGA-PBE.

```
data_Cu6PdPt3
_cell_length_a 3.876
_cell_length_b 8.198
_cell_length_c 8.532
_cell_angle_alpha 93.17
_cell_angle_beta 90.00
_cell_angle_gamma 90.00
_symmetry_space_group_name_H-M 'P 1'
_symmetry_Int_Tables_number 1
_symmetry_space_group_name_Hall 'P 1'
loop_
_atom_site_label
_atom_site_type_symbol
_atom_site_fract_x
_atom_site_fract_y
_atom_site_fract_z
Cu1 Cu 0.250 0.448 0.102
Cu2 Cu 0.750 0.552 0.898
Cu3 Cu 0.250 0.150 0.200
Cu4 Cu 0.750 0.850 0.800
Cu5 Cu 0.250 0.651 0.701
Cu6 Cu 0.750 0.349 0.299
Cu7 Cu 0.250 0.248 0.497
Cu8 Cu 0.750 0.752 0.503
Cu9 Cu 0.250 0.855 0.297
Cu10 Cu 0.750 0.145 0.703
Cu11 Cu 0.250 0.048 0.903
Cu12 Cu 0.750 0.952 0.097
Pd1 Pd 0.250 0.947 0.606
Pd2 Pd 0.750 0.053 0.394
Pt1 Pt 0.250 0.553 0.400
Pt2 Pt 0.750 0.447 0.600
Pt3 Pt 0.250 0.346 0.802
Pt4 Pt 0.750 0.654 0.198
Pt5 Pt 0.250 0.754 0.992
Pt6 Pt 0.750 0.246 0.008
```

***

Cu9Pd2Pt after structural relaxation. Source: Alexandria via LeMat-Bulk, functional GGA-PBE.

```
data_Cu9Pd2Pt
_cell_length_a 3.723
_cell_length_b 3.723
_cell_length_c 11.167
_cell_angle_alpha 90.00
_cell_angle_beta 90.00
_cell_angle_gamma 90.00
_symmetry_space_group_name_H-M 'P 1'
_symmetry_Int_Tables_number 1
_symmetry_space_group_name_Hall 'P 1'
loop_
_atom_site_label
_atom_site_type_symbol
_atom_site_fract_x
_atom_site_fract_y
_atom_site_fract_z
Cu1 Cu 0.500 0.500 0.000
Cu2 Cu 0.500 0.500 0.334
Cu3 Cu 0.500 0.500 0.666
Cu4 Cu 0.500 0.000 0.167
Cu5 Cu 0.500 0.000 0.500
Cu6 Cu 0.500 0.000 0.833
Cu7 Cu 0.000 0.500 0.167
Cu8 Cu 0.000 0.500 0.500
Cu9 Cu 0.000 0.500 0.833
Pd1 Pd 0.000 0.000 0.333
Pd2 Pd 0.000 0.000 0.667
Pt1 Pt 0.000 0.000 0.000
```

***

CuPd4Pt3 after structural relaxation. Source: Alexandria via LeMat-Bulk, functional GGA-PBE.

```
data_CuPd4Pt3
_cell_length_a 3.943
_cell_length_b 4.807
_cell_length_c 7.324
_cell_angle_alpha 89.59
_cell_angle_beta 74.39
_cell_angle_gamma 65.79
_symmetry_space_group_name_H-M 'P 1'
_symmetry_Int_Tables_number 1
_symmetry_space_group_name_Hall 'P 1'
loop_
_atom_site_label
_atom_site_type_symbol
_atom_site_fract_x
_atom_site_fract_y
_atom_site_fract_z
Pt1 Pt 0.748 0.752 0.752
Pt2 Pt 0.252 0.248 0.248
Pt3 Pt 0.500 0.500 0.500
Pd1 Pd 0.877 0.876 0.369
Pd2 Pd 0.123 0.124 0.631
Pd3 Pd 0.373 0.374 0.880
Pd4 Pd 0.627 0.626 0.120
Cu1 Cu 0.000 0.000 0.000
```

***

Cu3Pd2Pt3 after structural relaxation. Source: Alexandria via LeMat-Bulk, functional GGA-PBE.

```
data_Cu3Pd2Pt3
_cell_length_a 4.734
_cell_length_b 4.671
_cell_length_c 6.157
_cell_angle_alpha 104.72
_cell_angle_beta 105.08
_cell_angle_gamma 109.19
_symmetry_space_group_name_H-M 'P 1'
_symmetry_Int_Tables_number 1
_symmetry_space_group_name_Hall 'P 1'
loop_
_atom_site_label
_atom_site_type_symbol
_atom_site_fract_x
_atom_site_fract_y
_atom_site_fract_z
Cu1 Cu 0.376 0.876 0.752
Cu2 Cu 0.624 0.124 0.248
Cu3 Cu 0.000 0.000 0.000
Pd1 Pd 0.751 0.751 0.502
Pd2 Pd 0.249 0.249 0.498
Pt1 Pt 0.877 0.377 0.755
Pt2 Pt 0.500 0.500 0.000
Pt3 Pt 0.123 0.623 0.245
```

***

Cu4Pd7Pt after structural relaxation. Source: Alexandria via LeMat-Bulk, functional GGA-PBE.

```
data_Cu4Pd7Pt
_cell_length_a 5.450
_cell_length_b 7.253
_cell_length_c 7.193
_cell_angle_alpha 69.31
_cell_angle_beta 79.00
_cell_angle_gamma 41.01
_symmetry_space_group_name_H-M 'P 1'
_symmetry_Int_Tables_number 1
_symmetry_space_group_name_Hall 'P 1'
loop_
_atom_site_label
_atom_site_type_symbol
_atom_site_fract_x
_atom_site_fract_y
_atom_site_fract_z
Cu1 Cu 0.500 0.667 0.334
Cu2 Cu 0.500 0.333 0.666
Cu3 Cu 0.752 0.833 0.665
Cu4 Cu 0.248 0.167 0.335
Pd1 Pd 0.749 0.502 0.002
Pd2 Pd 0.251 0.498 0.998
Pd3 Pd 0.008 0.329 0.659
Pd4 Pd 0.992 0.671 0.341
Pd5 Pd 0.255 0.830 0.658
Pd6 Pd 0.500 0.000 0.000
Pd7 Pd 0.745 0.170 0.342
Pt1 Pt 0.000 0.000 0.000
```

***

CuPdPt2 after structural relaxation. Source: Alexandria via LeMat-Bulk, functional GGA-PBE.

```
data_CuPdPt2
_cell_length_a 3.760
_cell_length_b 3.760
_cell_length_c 9.544
_cell_angle_alpha 78.64
_cell_angle_beta 78.64
_cell_angle_gamma 90.00
_symmetry_space_group_name_H-M 'P 1'
_symmetry_Int_Tables_number 1
_symmetry_space_group_name_Hall 'P 1'
loop_
_atom_site_label
_atom_site_type_symbol
_atom_site_fract_x
_atom_site_fract_y
_atom_site_fract_z
Cu1 Cu 0.500 0.500 0.000
Cu2 Cu 0.250 0.750 0.500
Pd1 Pd 0.000 0.000 0.000
Pd2 Pd 0.750 0.250 0.500
Pt1 Pt 0.622 0.125 0.250
Pt2 Pt 0.128 0.625 0.250
Pt3 Pt 0.375 0.378 0.750
Pt4 Pt 0.875 0.872 0.750
```

***

Cu2PdPt2 after structural relaxation. Source: Alexandria via LeMat-Bulk, functional GGA-PBE.

```
data_Cu2PdPt2
_cell_length_a 7.276
_cell_length_b 7.276
_cell_length_c 2.769
_cell_angle_alpha 90.00
_cell_angle_beta 90.00
_cell_angle_gamma 90.00
_symmetry_space_group_name_H-M 'P 1'
_symmetry_Int_Tables_number 1
_symmetry_space_group_name_Hall 'P 1'
loop_
_atom_site_label
_atom_site_type_symbol
_atom_site_fract_x
_atom_site_fract_y
_atom_site_fract_z
Cu1 Cu 0.377 0.877 0.000
Cu2 Cu 0.877 0.623 0.000
Cu3 Cu 0.623 0.123 0.000
Cu4 Cu 0.123 0.377 0.000
Pd1 Pd 0.000 0.000 0.000
Pd2 Pd 0.500 0.500 0.000
Pt1 Pt 0.174 0.674 0.500
Pt2 Pt 0.674 0.826 0.500
Pt3 Pt 0.826 0.326 0.500
Pt4 Pt 0.326 0.174 0.500
```

***

Cu3Pd7Pt2 after structural relaxation. Source: Alexandria via LeMat-Bulk, functional GGA-PBE.

```
data_Cu3Pd7Pt2
_cell_length_a 2.762
_cell_length_b 4.598
_cell_length_c 14.374
_cell_angle_alpha 99.20
_cell_angle_beta 90.00
_cell_angle_gamma 90.00
_symmetry_space_group_name_H-M 'P 1'
_symmetry_Int_Tables_number 1
_symmetry_space_group_name_Hall 'P 1'
loop_
_atom_site_label
_atom_site_type_symbol
_atom_site_fract_x
_atom_site_fract_y
_atom_site_fract_z
Cu1 Cu 0.500 0.500 0.000
Cu2 Cu 0.500 0.652 0.304
Cu3 Cu 0.500 0.348 0.696
Pd1 Pd 0.000 0.425 0.850
Pd2 Pd 0.000 0.729 0.458
Pd3 Pd 0.000 0.000 0.000
Pd4 Pd 0.000 0.575 0.150
Pd5 Pd 0.500 0.089 0.177
Pd6 Pd 0.500 0.911 0.823
Pd7 Pd 0.000 0.271 0.542
Pt1 Pt 0.000 0.826 0.652
Pt2 Pt 0.000 0.174 0.348
```

***

Cu4Pd7Pt after structural relaxation. Source: Alexandria via LeMat-Bulk, functional GGA-PBE.

```
data_Cu4Pd7Pt
_cell_length_a 4.826
_cell_length_b 8.189
_cell_length_c 5.615
_cell_angle_alpha 79.77
_cell_angle_beta 64.55
_cell_angle_gamma 72.86
_symmetry_space_group_name_H-M 'P 1'
_symmetry_Int_Tables_number 1
_symmetry_space_group_name_Hall 'P 1'
loop_
_atom_site_label
_atom_site_type_symbol
_atom_site_fract_x
_atom_site_fract_y
_atom_site_fract_z
Cu1 Cu 0.562 0.237 0.639
Cu2 Cu 0.438 0.763 0.361
Cu3 Cu 0.723 0.684 0.871
Cu4 Cu 0.277 0.316 0.129
Pd1 Pd 0.787 0.923 0.503
Pd2 Pd 0.213 0.077 0.497
Pd3 Pd 0.042 0.625 0.292
Pd4 Pd 0.958 0.375 0.708
Pd5 Pd 0.339 0.560 0.762
Pd6 Pd 0.500 0.000 0.000
Pd7 Pd 0.661 0.440 0.238
Pt1 Pt 0.000 0.000 0.000
```

***

Summary of VASP energy in Ry per atom
-0.3335 -0.3616 -0.3351 -0.3983 -0.3825 -0.3654 -0.3774 -0.3726 -0.3697 -0.3401
(order as listed above)
Summary of Fermi-level density of states in states/eV per cell
4.66 13.68 3.86 17.21 7.84 17.16 9.53 10.17 18.27 16.81
(order as listed above)